[1]
# Ni3AuN

A relaxed structure of Ni3AuN (GGA-PBE, Alexandria).

Cell: 8.3574 3.7356 3.8597 Å, 89.99 103.33 77.10°
Sites, in units of the cell vectors:
Ni  0.3561  0.1594  0.7188
Ni  0.6063  0.0346  0.3443
Ni  0.1062  0.7843  0.5939
Ni  0.8562  0.4097  0.4690
Ni  0.3626  0.6561  0.2222
Ni  0.5999  0.5378  0.8411
Au  0.8499  0.9127  0.9660
Au  0.1126  0.2811  0.0971
N  0.3417  0.6665  0.7117
N  0.6207  0.5274  0.3516

Output
Magnetic moment in μB/f.u.: 0.00
SG: No. 74
Formation energy (no corrections) in eV/atom: 0.066

=====

[2]
# Ni2AuN

A relaxed structure of Ni2AuN (GGA-PBE, Alexandria).

Cell: 4.6919 4.6919 6.1694 Å, 67.65 67.65 90.00°
Sites, in units of the cell vectors:
Ni  0.4397  0.1250  0.2500
Ni  0.3103  0.6250  0.2500
Ni  0.3750  0.5603  0.7500
Ni  0.8750  0.6897  0.7500
Au  0.0000  0.0000  0.0000
Au  0.7500  0.2500  0.5000
N  0.5000  0.5000  0.0000
N  0.2500  0.7500  0.5000

Output
Magnetic moment in μB/f.u.: 0.00
SG: No. 122
Formation energy (no corrections) in eV/atom: 0.334